First-principles (GGA-PBE) data for a geometry-optimized Ta4SiSbN2 structure, as listed in the Open Quantum Materials Database.

Cell and atoms, written as extended XYZ:
```
8
Lattice="3.2772 0.0000 0.0000 -1.6386 2.8381 0.0000 0.0000 0.0000 12.5888" Properties=species:S:1:pos:R:3 pbc="T T T"
N 0.0000 1.8921 3.2961
N 0.0000 1.8921 9.2928
Ta 1.6386 0.9460 8.1174
Ta 0.0000 0.0000 2.2316
Ta 0.0000 0.0000 10.3573
Ta 1.6386 0.9460 4.4715
Sb 1.6386 0.9460 0.0000
Si 0.0000 0.0000 6.2944
```

## Properties
As for the total energy: -9.6523 eV/atom. Its crystal system is hexagonal. The space group is P-6m2 (187).